No. 1
! InTcW2 GGA-PBE optimized geometry; values from VASP
! energy: -9.272 eV per atom
! space-group type: No. 12
! density of states at the Fermi level: 3.8 states/eV/cell
! magnetization: 0.00 μB per formula unit
! energy of formation from the pure elements: 0.481 eV/atom
&SYSTEM
  ibrav = 0, nat = 4, ntyp = 3
/
ATOMIC_SPECIES
In 114.82 In.upf
Tc 98.00 Tc.upf
W 183.84 W.upf
ATOMIC_POSITIONS angstrom
In 0.000 0.000 0.000
Tc 2.740 0.000 0.000
W 0.977 2.286 1.335
W 0.977 -2.286 1.335
CELL_PARAMETERS angstrom
2.740 -4.571 0.000
2.740 4.571 0.000
-0.786 0.000 2.670



No. 2
! Tb3ZrN GGA-PBE optimized geometry; values from VASP
! energy: -6.632 eV per atom
! space-group type: No. 221
! density of states at the Fermi level: 8.0 states/eV/cell
! magnetization: 0.01 μB per formula unit
&SYSTEM
  ibrav = 0, nat = 5, ntyp = 3
/
ATOMIC_SPECIES
Tb 158.93 Tb.upf
Zr 91.22 Zr.upf
N 14.01 N.upf
ATOMIC_POSITIONS angstrom
Tb 0.000 0.000 2.443
Tb 0.000 2.443 0.000
Tb 2.443 0.000 0.000
Zr 2.443 2.443 2.443
N 0.000 0.000 0.000
CELL_PARAMETERS angstrom
4.887 0.000 0.000
0.000 4.887 0.000
0.000 0.000 4.887



No. 3
! RbInCuS3 GGA-PBE optimized geometry; values from VASP
! energy: -3.977 eV per atom
! space-group type: No. 11
! density of states at the Fermi level: 7.8 states/eV/cell
! magnetization: 0.00 μB per formula unit
&SYSTEM
  ibrav = 0, nat = 12, ntyp = 4
/
ATOMIC_SPECIES
Rb 85.47 Rb.upf
In 114.82 In.upf
Cu 63.55 Cu.upf
S 32.06 S.upf
ATOMIC_POSITIONS angstrom
Rb 1.087 0.961 2.141
Rb 4.920 2.882 6.922
In 0.437 2.882 7.952
In 5.570 0.961 1.111
Cu -1.057 0.961 5.418
Cu 7.064 2.882 3.645
S -1.340 0.961 7.749
S 0.034 2.882 4.845
S 3.781 2.882 1.469
S 2.225 0.961 7.594
S 5.972 0.961 4.218
S 7.346 2.882 1.314
CELL_PARAMETERS angstrom
8.989 0.000 0.000
0.000 3.842 0.000
-2.982 0.000 9.063



No. 4
! Nd12Y6Mg GGA-PBE optimized geometry; values from VASP
! energy: -5.009 eV per atom
! space-group type: No. 148
! density of states at the Fermi level: 34.9 states/eV/cell
! magnetization: 0.00 μB per formula unit
! energy of formation from the pure elements: 0.128 eV/atom
&SYSTEM
  ibrav = 0, nat = 19, ntyp = 3
/
ATOMIC_SPECIES
Nd 144.24 Nd.upf
Y 88.91 Y.upf
Mg 24.30 Mg.upf
ATOMIC_POSITIONS angstrom
Nd -1.683 -5.689 6.255
Nd -5.768 -1.387 8.515
Nd -1.343 -1.562 4.527
Nd -4.086 4.302 6.255
Nd -0.681 1.944 4.527
Nd 2.024 -0.382 4.527
Nd -2.024 0.382 10.243
Nd 0.681 -1.944 10.243
Nd 4.086 -4.302 8.515
Nd 1.343 1.562 10.243
Nd 5.768 1.387 6.255
Nd 1.683 5.689 8.515
Y -2.296 -2.468 7.903
Y -3.286 0.755 6.867
Y 0.989 -3.223 6.867
Y -0.989 3.223 7.903
Y 3.286 -0.755 7.903
Y 2.296 2.468 6.867
Mg 0.000 0.000 7.385
CELL_PARAMETERS angstrom
6.183 3.570 4.923
-6.183 3.570 4.923
0.000 -7.139 4.923



Q: energy of number 3 (RbInCuS3)?
A: -3.977 eV per atom



Q: Which of these has the highest magnetization?
A: Tb3ZrN



Please write out number 4 again, unchanged.
! Nd12Y6Mg GGA-PBE optimized geometry; values from VASP
! energy: -5.009 eV per atom
! space-group type: No. 148
! density of states at the Fermi level: 34.9 states/eV/cell
! magnetization: 0.00 μB per formula unit
! energy of formation from the pure elements: 0.128 eV/atom
&SYSTEM
  ibrav = 0, nat = 19, ntyp = 3
/
ATOMIC_SPECIES
Nd 144.24 Nd.upf
Y 88.91 Y.upf
Mg 24.30 Mg.upf
ATOMIC_POSITIONS angstrom
Nd -1.683 -5.689 6.255
Nd -5.768 -1.387 8.515
Nd -1.343 -1.562 4.527
Nd -4.086 4.302 6.255
Nd -0.681 1.944 4.527
Nd 2.024 -0.382 4.527
Nd -2.024 0.382 10.243
Nd 0.681 -1.944 10.243
Nd 4.086 -4.302 8.515
Nd 1.343 1.562 10.243
Nd 5.768 1.387 6.255
Nd 1.683 5.689 8.515
Y -2.296 -2.468 7.903
Y -3.286 0.755 6.867
Y 0.989 -3.223 6.867
Y -0.989 3.223 7.903
Y 3.286 -0.755 7.903
Y 2.296 2.468 6.867
Mg 0.000 0.000 7.385
CELL_PARAMETERS angstrom
6.183 3.570 4.923
-6.183 3.570 4.923
0.000 -7.139 4.923



Q: Which of these has the lowest energy?
A: InTcW2